Material: Pr3NdIr
Method: DFT, GGA-PBE
State: optimized geometry

a = 6.857 Å, b = 7.145 Å, c = 7.145 Å
α = 91.42°, β = 75.22°, γ = 75.22°
Fractional coordinates of all 10 atoms:
Pr (0.235, 0.066, 0.566)
Pr (0.235, 0.566, 0.066)
Pr (0.765, 0.434, 0.934)
Pr (0.232, 0.567, 0.567)
Pr (0.765, 0.934, 0.434)
Pr (0.768, 0.433, 0.433)
Nd (0.766, 0.934, 0.934)
Nd (0.234, 0.066, 0.066)
Ir (0.499, 0.249, 0.249)
Ir (0.501, 0.751, 0.751)

## Properties
The space-group type is C2/m. The value obtained for the final energy is -58.2 eV/cell.